P) Ac2SmTh: optimized geometry, PBE.

Structure (POSCAR):
```
Ac2SmTh
1.0
-1.478 -2.854 -1.988
3.353 -1.743 0.009
-2.627 -5.005 9.137
Sm Ac Th
1 2 1
direct
0.500 0.500 0.500
0.000 0.000 0.756
0.000 0.000 0.244
0.500 0.500 0.000
```

As for the space group: No. 123.


Q) Ac2SmTh: optimized geometry, PBE.

Structure (POSCAR):
```
Ac2SmTh
1.0
6.022 0.000 0.000
3.011 5.215 0.000
3.011 1.738 4.917
Th Sm Ac
1 1 2
direct
0.000 0.000 0.000
0.500 0.500 0.500
0.250 0.250 0.250
0.750 0.750 0.750
```

As for the space group: No. 225.


R) Ac2SmTh: optimized geometry, PBE.

Structure (POSCAR):
```
Ac2SmTh
1.0
5.352 0.000 0.000
0.000 5.352 0.000
0.000 0.000 5.352
Th Sm Ac
1 1 2
direct
0.500 0.000 0.000
0.500 0.500 0.500
0.000 0.000 0.500
0.000 0.500 0.000
```

As for the space group: No. 123.


S) Ac2SmTh: optimized geometry, PBE.

Structure (POSCAR):
```
Ac2SmTh
1.0
-0.128 -2.536 -2.687
-2.093 -3.020 0.406
-10.981 4.505 -6.273
Th Ac Sm
1 2 1
direct
0.000 0.000 0.000
0.911 0.911 0.266
0.089 0.089 0.734
0.500 0.500 0.500
```

As for the space group: No. 166.


Of them, P) has the highest stability.


P) AcSm3Tl: optimized geometry, PBE.

Structure (POSCAR):
```
AcSm3Tl
1.0
7.869 0.640 -1.850
4.412 6.547 -1.850
1.110 0.650 14.622
Tl Sm Ac
4 12 4
direct
0.500 0.000 0.000
0.000 0.500 0.500
0.750 0.250 0.250
0.250 0.750 0.750
0.288 0.789 0.962
0.712 0.211 0.038
0.657 0.655 0.156
0.211 0.712 0.538
0.789 0.288 0.462
0.844 0.844 0.344
0.844 0.844 0.844
0.156 0.156 0.656
0.343 0.345 0.844
0.156 0.156 0.156
0.345 0.343 0.344
0.655 0.657 0.656
0.634 0.136 0.615
0.366 0.864 0.385
0.136 0.634 0.115
0.864 0.366 0.885
```

As for the space group: No. 15.


Q) AcSm3Tl: optimized geometry, PBE.

Structure (POSCAR):
```
AcSm3Tl
1.0
-4.283 0.989 -2.736
2.283 -1.415 -4.086
-6.295 -11.973 0.630
Sm Tl Ac
6 2 2
direct
0.368 0.250 0.912
0.280 0.750 0.088
0.876 0.750 0.897
0.070 0.750 0.509
0.579 0.250 0.491
0.773 0.250 0.103
0.669 0.750 0.311
0.980 0.250 0.689
0.176 0.250 0.296
0.472 0.750 0.704
```

As for the space group: No. 63.


Of them, Q) has the highest stability.


P) Ac3SmTl2: optimized geometry, PBE.

Structure (POSCAR):
```
Ac3SmTl2
1.0
-7.038 3.368 1.198
-3.696 -6.888 -2.350
5.409 -0.828 8.097
Ac Sm Tl
6 2 4
direct
0.221 0.471 0.442
0.500 0.250 0.000
0.779 0.529 0.558
0.779 0.029 0.558
0.221 0.971 0.442
0.500 0.750 0.000
0.000 0.000 0.000
0.000 0.500 0.000
0.427 0.634 0.268
0.841 0.134 0.268
0.159 0.866 0.732
0.573 0.366 0.732
```

As for the space group: No. 72.


Q) Ac3SmTl2: optimized geometry, PBE.

Structure (POSCAR):
```
Ac3SmTl2
1.0
-1.875 -5.519 -4.081
-2.640 -3.337 5.727
-5.633 8.182 -2.274
Ac Tl Sm
6 4 2
direct
0.500 0.750 0.000
0.500 0.250 0.000
0.931 0.178 0.356
0.425 0.678 0.356
0.575 0.322 0.644
0.069 0.822 0.644
0.368 0.131 0.263
0.106 0.369 0.737
0.632 0.869 0.737
0.894 0.631 0.263
0.000 0.750 0.000
0.000 0.250 0.000
```

As for the space group: No. 72.


Of them, Q) has the highest stability.


P) Ac2SmTm: optimized geometry, PBE.

Structure (POSCAR):
```
Ac2SmTm
1.0
-2.040 3.001 1.168
-8.123 0.070 -1.934
3.819 -4.130 4.853
Tm Ac Sm
1 2 1
direct
0.753 0.252 0.498
0.252 0.753 0.498
0.753 0.252 0.998
0.252 0.752 0.998
```

As for the space group: No. 10.


Q) Ac2SmTm: optimized geometry, PBE.

Structure (POSCAR):
```
Ac2SmTm
1.0
-1.516 2.224 4.395
3.419 -3.161 2.779
3.896 3.734 -0.546
Ac Sm Tm
2 1 1
direct
0.000 0.000 0.500
0.000 0.500 0.000
0.500 0.000 0.000
0.500 0.500 0.500
```

As for the space group: No. 123.


Of them, Q) has the highest stability.


P) Ac2SmTm: optimized geometry, PBE.

Structure (POSCAR):
```
Ac2SmTm
1.0
3.886 0.000 0.000
0.000 3.886 0.000
0.000 0.000 10.028
Ac Sm Tm
2 1 1
direct
0.000 0.000 0.756
0.000 0.000 0.244
0.500 0.500 0.500
0.500 0.500 0.000
```

As for the space group: No. 123.


Q) Ac2SmTm: optimized geometry, PBE.

Structure (POSCAR):
```
Ac2SmTm
1.0
-3.394 -4.336 -2.384
2.227 -3.520 -4.319
1.235 -5.757 1.160
Ac Sm Tm
2 1 1
direct
0.250 0.250 0.250
0.750 0.750 0.750
0.500 0.500 0.500
0.000 0.000 0.000
```

As for the space group: No. 225.


R) Ac2SmTm: optimized geometry, PBE.

Structure (POSCAR):
```
Ac2SmTm
1.0
-2.937 2.421 -0.100
-2.517 0.059 2.857
4.853 9.156 6.626
Sm Ac Tm
1 2 1
direct
0.499 0.499 0.503
0.251 0.251 0.246
0.082 0.082 0.754
0.668 0.668 0.997
```

As for the space group: No. 160.


Of them, P) has the highest stability.


P) AcSm2Tm: optimized geometry, PBE.

Structure (POSCAR):
```
AcSm2Tm
1.0
0.763 -4.857 3.517
3.245 -2.647 -4.359
5.250 -2.181 1.041
Ac Sm Tm
1 2 1
direct
0.250 0.750 0.500
0.000 0.000 0.000
0.750 0.250 0.500
0.500 0.500 0.000
```

As for the space group: No. 119.


Q) AcSm2Tm: optimized geometry, PBE.

Structure (POSCAR):
```
AcSm2Tm
1.0
-5.091 -1.182 2.669
-4.029 -3.307 -2.697
-1.110 -5.430 1.931
Sm Ac Tm
2 1 1
direct
0.750 0.750 0.750
0.250 0.250 0.250
0.500 0.500 0.500
0.000 0.000 0.000
```

As for the space group: No. 225.


R) AcSm2Tm: optimized geometry, PBE.

Structure (POSCAR):
```
AcSm2Tm
1.0
-0.772 -2.855 4.340
-1.045 -4.152 -2.917
5.016 -1.293 0.042
Tm Ac Sm
1 1 2
direct
0.500 0.500 0.500
0.500 0.000 0.000
0.000 0.500 0.000
0.000 0.000 0.500
```

As for the space group: No. 123.


S) AcSm2Tm: optimized geometry, PBE.

Structure (POSCAR):
```
AcSm2Tm
1.0
-2.241 -1.927 2.235
1.433 -2.125 2.676
-0.678 7.886 9.191
Sm Ac Tm
2 1 1
direct
0.079 0.079 0.763
0.254 0.254 0.237
0.500 0.500 0.499
0.666 0.666 0.001
```

As for the space group: No. 160.


Of them, R) has the highest stability.